(1)
Here is crystalline Mg2HgPtCl at its relaxed geometry from Alexandria via LeMat-Bulk. Energies are from PBE-GGA.

a = 5.103 Å, b = 5.090 Å, c = 5.103 Å
α = 90.00°, β = 90.00°, γ = 90.00°
Positions (direct):
Mg (0.000, 0.000, 0.500)
Mg (0.500, 0.000, 0.000)
Hg (0.500, 0.500, 0.500)
Pt (0.000, 0.000, 0.000)
Cl (0.000, 0.500, 0.000)

Calculated values
Spin magnetization in Bohr magnetons per cell: 0.0
Raw formation energy in eV per atom: -0.207
SG: P4/mmm, No. 123


(2)
Here is crystalline Rb3MgHg2Cl9 at its relaxed geometry from Alexandria via LeMat-Bulk. Energies are from PBE-GGA.

a = 7.435 Å, b = 7.435 Å, c = 9.127 Å
α = 90.00°, β = 90.00°, γ = 120.00°
Positions (direct):
Rb (0.333, 0.667, 0.667)
Rb (0.000, 0.000, 0.000)
Rb (0.667, 0.333, 0.333)
Mg (0.000, 0.000, 0.500)
Hg (0.333, 0.667, 0.175)
Hg (0.667, 0.333, 0.825)
Cl (0.839, 0.161, 0.659)
Cl (0.839, 0.679, 0.659)
Cl (0.321, 0.161, 0.659)
Cl (0.679, 0.839, 0.341)
Cl (0.161, 0.321, 0.341)
Cl (0.161, 0.839, 0.341)
Cl (0.500, 0.000, 0.000)
Cl (0.000, 0.500, 0.000)
Cl (0.500, 0.500, 0.000)

Calculated values
Spin magnetization in Bohr magnetons per cell: 0.0
Raw formation energy in eV per atom: -1.376
SG: P-3m1, No. 164